DFT (PBE) results for crystalline LiCoAg2 at its relaxed geometry.

Calculated values
Formation energy from the elements (eV/atom): 0.215
Raw total energy (Ry/atom): -0.2547

```
LiCoAg2
1.0
-1.425 2.282 4.626
1.425 -2.282 4.626
1.425 2.282 -4.626
Li Co Ag
1 1 2
Direct
0.000 0.000 0.000
0.762 0.262 0.500
0.250 0.750 0.500
0.517 0.517 0.000
```